[1]
Entry from the Alexandria database: an optimized crystal structure of Tm3GaFe8 (PBE-GGA).

size of the total moment	13.64	μB/cell
total DFT energy (no corrections)	-7.151	eV per atom

```
Tm3GaFe8
1.0
4.792 0.000 1.446
2.177 4.268 1.446
0.004 0.002 8.647
Fe Tm Ga
8 3 1
Cartesian
4.162 4.007 7.888 Fe
5.436 1.861 3.645 Fe
1.309 0.802 4.323 Fe
4.128 3.997 3.645 Fe
3.039 1.861 2.921 Fe
4.800 2.940 10.079 Fe
5.461 1.887 7.888 Fe
6.543 4.007 8.607 Fe
2.621 1.605 8.638 Tm
3.508 2.148 5.699 Tm
6.941 4.251 2.986 Tm
6.085 3.727 5.821 Ga
```

***

[2]
Entry from the Alexandria database: an optimized crystal structure of Re2WBr (PBE-GGA).

size of the total moment	0.00	μB/cell
energy relative to the elements, uncorrected	953	meV per atom
energy relative to the lowest polymorph listed for this composition	341	meV/atom
total DFT energy (no corrections)	-8.928	eV per atom

```
Re2WBr
1.0
5.221 -0.004 -0.006
4.370 2.857 -0.006
0.324 0.096 4.498
Re Br W
2 1 1
Cartesian
0.614 0.183 4.299 Re
7.526 2.238 3.500 Re
2.444 0.727 1.079 Br
4.615 1.373 2.350 W
```

***

[3]
Entry from the Alexandria database: an optimized crystal structure of TaMoOs2 (PBE-GGA).

size of the total moment	0.00	μB/cell
energy relative to the lowest polymorph listed for this composition	0	meV/atom
total DFT energy (no corrections)	-11.318	eV per atom

```
TaMoOs2
1.0
4.801 -0.013 0.000
1.446 4.579 0.000
-3.123 -2.283 2.844
Ta Mo Os
1 1 2
Cartesian
0.723 2.289 1.422 Ta
2.401 -0.007 1.422 Mo
3.123 2.283 0.000 Os
0.000 0.000 0.000 Os
```

***

[4]
Entry from the Alexandria database: an optimized crystal structure of DySc4Rh5 (PBE-GGA).

size of the total moment	0.00	μB/cell
total DFT energy (no corrections)	-7.644	eV per atom

```
DySc4Rh5
1.0
-0.574 -0.381 3.150
-1.228 -2.924 -0.578
15.232 -6.785 1.955
Rh Dy Sc
5 1 4
Cartesian
3.753 -3.726 1.883 Rh
12.626 -7.678 3.022 Rh
9.677 -6.364 2.644 Rh
0.803 -2.412 1.505 Rh
6.715 -5.045 2.264 Rh
0.000 0.000 0.000 Dy
6.129 -2.730 0.787 Sc
12.082 -5.382 1.551 Sc
9.103 -4.055 1.168 Sc
3.150 -1.403 0.404 Sc
```